The following is a DFT calculation (PBE) of a geometry-optimized TiTlSnCl6 structure.

Summary:
Energy relative to the elements, uncorrected in kJ/mol of atoms: -122
Crystal system: trigonal
E in eV/atom: -4.084

a b c (Å): 7.0322 7.0322 13.4069
angles (deg): 90.00 90.00 120.00
Last column: nearest neighbours and their distance in Å.
Element x y z (fractional)
Ti 0.6667 0.3333 0.2500  6 Cl 2.45
Ti 0.3333 0.6667 0.7500  6 Cl 2.45
Cl 0.3917 0.3492 0.3559  1 Ti 2.45
Cl 0.6083 0.9575 0.8559  1 Ti 2.45
Cl 0.6083 0.6508 0.6441  1 Ti 2.45
Cl 0.3492 0.9575 0.6441  1 Ti 2.45
Cl 0.6508 0.0425 0.3559  1 Ti 2.45
Cl 0.9575 0.3492 0.1441  1 Ti 2.45
Cl 0.9575 0.6083 0.3559  1 Ti 2.45
Cl 0.3917 0.0425 0.1441  1 Ti 2.45
Cl 0.3492 0.3917 0.8559  1 Ti 2.45
Cl 0.6508 0.6083 0.1441  1 Ti 2.45
Cl 0.0425 0.6508 0.8559  1 Ti 2.45
Cl 0.0425 0.3917 0.6441  1 Ti 2.45
Sn 0.3333 0.6667 0.2500  6 Cl 2.84
Sn 0.6667 0.3333 0.7500  6 Cl 2.84
Tl 0.0000 0.0000 0.5000  6 Cl 3.25
Tl 0.0000 0.0000 0.0000  6 Cl 3.25


The following is a DFT calculation (PBE) of a geometry-optimized NdTlSbAu structure.

Summary:
Energy relative to the elements, uncorrected in kJ/mol of atoms: -41
Crystal system: cubic
E in eV/atom: -4.061

a b c (Å): 5.3838 5.3838 5.3838
angles (deg): 60.00 60.00 60.00
Last column: nearest neighbours and their distance in Å.
Element x y z (fractional)
Au 0.0000 0.0000 0.0000  4 Nd 3.30, 4 Tl 3.30
Tl 0.7500 0.7500 0.7500  4 Sb 3.30, 4 Au 3.30
Nd 0.2500 0.2500 0.2500  4 Sb 3.30, 4 Au 3.30
Sb 0.5000 0.5000 0.5000  4 Tl 3.30, 4 Nd 3.30


The following is a DFT calculation (PBE) of a geometry-optimized Zr4Bi2Ru structure.

Summary:
Crystal system: tetragonal
E in eV/atom: -7.310
Formation energy in eV per atom: 0.01

a b c (Å): 4.9416 4.9416 8.4688
angles (deg): 73.04 73.04 90.00
Last column: nearest neighbours and their distance in Å.
Element x y z (fractional)
Ru 0.0000 0.0000 0.0000  6 Zr 2.47-2.54
Zr 0.0000 0.5000 0.0000  2 Ru 2.47
Zr 0.8351 0.8351 0.3298  1 Ru 2.54
Zr 0.1649 0.1649 0.6702  1 Ru 2.54
Zr 0.5000 0.0000 0.0000  2 Ru 2.47
Bi 0.3608 0.3608 0.2785  5 Zr 3.02-3.27
Bi 0.6392 0.6392 0.7215  5 Zr 3.02-3.27


The following is a DFT calculation (PBE) of a geometry-optimized NaMnPPd2 structure.

Summary:
Crystal system: tetragonal
E in eV/atom: -4.051
Formation energy in eV per atom: 1.21

a b c (Å): 4.5135 4.9198 4.5135
angles (deg): 90.00 90.00 90.00
Last column: nearest neighbours and their distance in Å.
Element x y z (fractional)
Pd 0.0000 0.0000 0.5000  2 Mn 2.26
Pd 0.5000 0.0000 0.0000  2 Mn 2.26
Na 0.0000 0.5000 0.0000  2 Mn 2.46
Mn 0.0000 0.0000 0.0000  4 Pd 2.26, 2 Na 2.46
P 0.5000 0.5000 0.5000  4 Na 3.19, 8 Pd 3.34


Computed DOS at the Fermi energy, in the same sequence as the records: 0.76, 1.03, 0.65, 1.54 states/eV per atom.